Ca2Mg12TlCd3 | PBE | relaxed

Lattice parameters (Å, degrees): 15.0656 15.0656 15.0656 23.84 23.84 23.84
Closest atoms and distances in Å follow each position.
Fractional coordinates of all 18 atoms:
Ca 0.1478 0.1478 0.1478  9 Mg 3.49-3.68, 3 Tl 3.69
Ca 0.8522 0.8522 0.8522  9 Mg 3.49-3.68, 3 Tl 3.69
Mg 0.1060 0.1060 0.6216  6 Mg 3.02-3.21, 2 Cd 3.04
Mg 0.1060 0.6216 0.1060  6 Mg 3.02-3.21, 2 Cd 3.04
Mg 0.1071 0.6145 0.6145  1 Tl 3.01, 6 Mg 3.07-3.16
Mg 0.3784 0.8940 0.8940  6 Mg 3.02-3.21, 2 Cd 3.04
Mg 0.3855 0.3855 0.8929  1 Tl 3.01, 6 Mg 3.07-3.16
Mg 0.3855 0.8929 0.3855  1 Tl 3.01, 6 Mg 3.07-3.16
Mg 0.6145 0.1071 0.6145  1 Tl 3.01, 6 Mg 3.07-3.16
Mg 0.6145 0.6145 0.1071  1 Tl 3.01, 6 Mg 3.07-3.16
Mg 0.6216 0.1060 0.1060  6 Mg 3.02-3.21, 2 Cd 3.04
Mg 0.8929 0.3855 0.3855  1 Tl 3.01, 6 Mg 3.07-3.16
Mg 0.8940 0.3784 0.8940  6 Mg 3.02-3.21, 2 Cd 3.04
Mg 0.8940 0.8940 0.3784  6 Mg 3.02-3.21, 2 Cd 3.04
Tl 0.5000 0.5000 0.5000  6 Mg 3.01
Cd 0.0000 0.5000 0.5000  4 Mg 3.04, 4 Cd 3.11
Cd 0.5000 0.0000 0.5000  4 Mg 3.04, 4 Cd 3.11
Cd 0.5000 0.5000 0.0000  4 Mg 3.04, 4 Cd 3.11

SG: R-3m, No. 166
total energy: -26.8 eV per cell
volume: 27.27 A^3/atom
formation enthalpy at 0 K: 0.08 eV per atom